The following is a GGA-PBE calculation of an optimized crystal structure of La4CoPBr2, from the Alexandria database.

Uncorrected energy in eV for the cell shown: -44.884
Spin magnetization in μB per cell: 0.00
Theoretical density in kg/m³: 5760
Formation energy from raw total energies in eV/atom: -1.164
Fermi-level density of states in states/eV/cell: 6.09
Symmetry: P2/m, No. 10

abc: 4.0337 7.6014 7.9437
angles: 107.60 90.00 90.00
Atoms (fractional coordinates):
P: 0.5000 0.5000 0.0000
La: 0.5000 0.2086 0.1901
La: 0.0000 0.2646 0.7878
La: 0.0000 0.7354 0.2122
La: 0.5000 0.7914 0.8099
Br: 0.5000 0.0000 0.5000
Br: 0.0000 0.5000 0.5000
Co: 0.0000 0.0000 0.0000